--- i ---
DFT (PBE-GGA) results for a geometry-optimized NdGaSiIr2 structure.

Cell: 5.909 5.909 5.909 Å, 138.50 138.50 60.14°
Sites, in units of the cell vectors:
Ga  0.381  0.381  0.000
Ir  0.743  0.243  0.500
Ir  0.243  0.743  0.500
Nd  0.001  0.001  0.000
Si  0.631  0.631  0.000

For the total magnetic moment, the calculation gives 0.000 μB per atom.

--- ii ---
DFT (PBE-GGA) results for a geometry-optimized NdGaSiIr2 structure.

Cell: 4.175 4.175 10.335 Å, 90.00 90.00 90.00°
Sites, in units of the cell vectors:
Ga  0.000  0.000  0.500
Ga  0.500  0.500  0.500
Ir  0.000  0.000  0.000
Ir  0.500  0.500  0.000
Ir  0.500  0.000  0.355
Ir  0.000  0.500  0.645
Nd  0.000  0.500  0.249
Nd  0.500  0.000  0.751
Si  0.500  0.000  0.124
Si  0.000  0.500  0.876

For the total magnetic moment, the calculation gives 0.001 μB per atom.

The structure with the least stability is i.

--- i ---
DFT (PBE-GGA) results for a geometry-optimized SrGa2IrPt structure.

Cell: 4.401 4.401 10.247 Å, 90.00 90.00 90.00°
Sites, in units of the cell vectors:
Ga  0.000  0.500  0.130
Ga  0.000  0.000  0.500
Ga  0.500  0.500  0.500
Ga  0.500  0.000  0.870
Ir  0.000  0.500  0.374
Ir  0.500  0.000  0.626
Pt  0.000  0.000  0.000
Pt  0.500  0.500  0.000
Sr  0.500  0.000  0.248
Sr  0.000  0.500  0.752

For the total magnetic moment, the calculation gives 0.001 μB per atom.

--- ii ---
DFT (PBE-GGA) results for a geometry-optimized SrGa2IrPt structure.

Cell: 4.385 4.385 10.308 Å, 90.00 90.00 90.00°
Sites, in units of the cell vectors:
Ga  0.500  0.000  0.120
Ga  0.000  0.000  0.500
Ga  0.500  0.500  0.500
Ga  0.000  0.500  0.880
Ir  0.000  0.000  0.000
Ir  0.500  0.500  0.000
Pt  0.500  0.000  0.371
Pt  0.000  0.500  0.629
Sr  0.000  0.500  0.239
Sr  0.500  0.000  0.761

For the total magnetic moment, the calculation gives 0.001 μB per atom.

The structure with the least stability is i.

--- i ---
DFT (PBE-GGA) results for a geometry-optimized RbGaIr structure.

Cell: 4.751 4.751 4.751 Å, 60.00 60.00 60.00°
Sites, in units of the cell vectors:
Ga  0.250  0.250  0.250
Ir  0.000  0.000  0.000
Rb  0.750  0.750  0.750

For the total magnetic moment, the calculation gives 0.028 μB per atom.

--- ii ---
DFT (PBE-GGA) results for a geometry-optimized RbGaIr structure.

Cell: 4.759 4.759 4.759 Å, 60.00 60.00 60.00°
Sites, in units of the cell vectors:
Ga  0.000  0.000  0.000
Ir  0.250  0.250  0.250
Rb  0.750  0.750  0.750

For the total magnetic moment, the calculation gives 0.102 μB per atom.

--- iii ---
DFT (PBE-GGA) results for a geometry-optimized RbGaIr structure.

Cell: 5.169 5.169 5.169 Å, 60.00 60.00 60.00°
Sites, in units of the cell vectors:
Ga  0.250  0.250  0.250
Ir  0.750  0.750  0.750
Rb  0.000  0.000  0.000

For the total magnetic moment, the calculation gives 0.339 μB per atom.

The structure with the least stability is iii.

--- i ---
DFT (PBE-GGA) results for a geometry-optimized KNdGaSe3 structure.

Cell: 7.492 7.492 11.324 Å, 90.00 90.00 144.11°
Sites, in units of the cell vectors:
Ga  0.515  0.485  0.250
Ga  0.485  0.515  0.750
K  0.251  0.749  0.250
K  0.749  0.251  0.750
Nd  0.000  0.000  0.000
Nd  0.000  0.000  0.500
Se  0.626  0.374  0.073
Se  0.934  0.066  0.250
Se  0.626  0.374  0.427
Se  0.374  0.626  0.573
Se  0.066  0.934  0.750
Se  0.374  0.626  0.927

For the total magnetic moment, the calculation gives 0.000 μB per atom.

--- ii ---
DFT (PBE-GGA) results for a geometry-optimized KNdGaSe3 structure.

Cell: 11.592 4.748 12.359 Å, 90.00 90.00 90.00°
Sites, in units of the cell vectors:
Ga  0.260  0.250  0.227
Ga  0.760  0.250  0.273
Ga  0.240  0.750  0.727
Ga  0.740  0.750  0.773
K  0.173  0.750  0.006
K  0.673  0.750  0.494
K  0.327  0.250  0.506
K  0.827  0.250  0.994
Nd  0.522  0.750  0.173
Nd  0.022  0.750  0.327
Nd  0.978  0.250  0.673
Nd  0.478  0.250  0.827
Se  0.398  0.250  0.062
Se  0.053  0.250  0.170
Se  0.786  0.750  0.202
Se  0.286  0.750  0.298
Se  0.553  0.250  0.330
Se  0.898  0.250  0.438
Se  0.102  0.750  0.562
Se  0.447  0.750  0.670
Se  0.714  0.250  0.702
Se  0.214  0.250  0.798
Se  0.947  0.750  0.830
Se  0.602  0.750  0.938

For the total magnetic moment, the calculation gives 0.001 μB per atom.

The structure with the least stability is i.